MgVO2 | the Alexandria database | GGA+U | relaxed; density = 3.4 Mg/m³; symmetry = C2/m (12); calculated volume = 52.8 Å³/f.u.; E_tot = -6.647 eV per atom
1.0
-2.866 -0.743 -8.057
-3.436 -3.505 -7.043
-10.253 0.659 -3.961
Mg O V
4 8 4
Cartesian
-6.961 -2.496 -10.702 Mg
-9.593 -1.092 -8.359 Mg
-9.459 -3.718 -15.430 Mg
-7.095 0.129 -3.631 Mg
-10.172 -0.310 -6.555 O
-10.632 -2.353 -12.373 O
-5.923 -1.235 -6.687 O
-6.382 -3.278 -12.506 O
-13.913 -3.360 -16.958 O
-5.142 -0.288 -3.671 O
-2.641 -0.228 -2.103 O
-11.412 -3.300 -15.390 O
-12.320 -0.893 -9.346 V
-8.511 -2.949 -12.807 V
-8.043 -0.639 -6.254 V
-4.235 -2.695 -9.715 V